{
  "formula": "Re2GeCl",
  "functional": "PBE",
  "state": "relaxed",
  "cell": [[5.678, 0.000, 0.000], [0.000, 5.678, 0.000], [2.839, 2.839, 4.876]],
  "species": ["Re", "Re", "Re", "Re", "Ge", "Ge", "Cl", "Cl"],
  "frac_coords": [[0.596, 0.125, 0.250], [0.154, 0.625, 0.250], [0.375, 0.404, 0.750], [0.875, 0.846, 0.750], [0.000, 0.000, 0.000], [0.750, 0.250, 0.500], [0.500, 0.500, 0.000], [0.250, 0.750, 0.500]],
  "energy_ev_per_atom": -6.4223,
  "total_magnetization_mub_per_atom": 0.000,
  "space_group": "I-42d, No. 122",
  "crystal_system": "tetragonal",
  "raw_formation_energy_mev_per_atom": 1418,
  "de_polymorph_mev_per_atom": 460
}